Here is a geometry-optimized Na2TbFeO4 structure from the Alexandria database. Energies are from GGA+U.

Symmetry = Imma (74)
Magnetization = 0.62 μB/atom
Total DFT energy (no corrections) = -6.214 eV/atom

Geometry as POSCAR:
```
Na2TbFeO4
1.0
-3.2026 3.3886 4.6248
3.2026 -3.3886 4.6248
3.2026 3.3886 -4.6248
Na Tb Fe O
4 2 2 8
Direct
0.0000 0.0000 0.0000
0.5000 0.0000 0.0000
0.5000 0.0000 0.5000
0.5000 0.5000 0.5000
0.0000 0.5000 0.5000
0.5000 0.5000 0.0000
0.0000 0.0000 0.5000
0.0000 0.5000 0.0000
0.2052 0.7458 0.4594
0.2136 0.2542 0.9594
0.2297 0.2441 0.5144
0.2297 0.7153 0.9856
0.7703 0.2847 0.0144
0.7703 0.7559 0.4856
0.7864 0.7458 0.0406
0.7948 0.2542 0.5406
```